No. 1
Density functional theory data (GGA-PBEsol) for a relaxed structure of BeInSe2.

POSCAR file:
```
BeInSe2
1.0
3.4138 0.0000 0.0000
0.0000 3.8953 -0.0894
0.0000 -0.2195 6.4901
Be Se In
1 2 1
direct
0.5000 0.0000 0.5000 Be
0.0000 0.8868 0.7189 Se
0.0000 0.1132 0.2811 Se
0.5000 0.5000 0.0000 In
```

- space-group type = P2/m (10)
- calculated volume (Å³ per atom) = 21.56
- ΔE to the lowest computed polymorph (eV/atom) = 0.2488


No. 2
Density functional theory data (GGA-PBEsol) for a relaxed structure of BeInSe2.

POSCAR file:
```
BeInSe2
1.0
-3.5710 1.1103 -2.1903
-1.4161 -2.4987 -3.2455
-5.5172 -4.0678 2.6455
Be Se In
1 2 1
direct
0.0000 0.0000 0.0000 Be
0.0974 0.0974 0.7079 Se
0.9026 0.9026 0.2921 Se
0.5000 0.5000 0.5000 In
```

- space-group type = R-3m (166)
- calculated volume (Å³ per atom) = 28.09
- ΔE to the lowest computed polymorph (eV/atom) = 0.2561


No. 3
Density functional theory data (GGA-PBEsol) for a relaxed structure of BeIn2Se.

POSCAR file:
```
BeIn2Se
1.0
3.4484 0.1612 0.0000
-1.0736 3.2810 0.0000
0.0000 0.0000 7.2027
Be Se In
1 1 2
direct
0.5000 0.5000 0.0000 Be
0.5000 0.5000 0.5000 Se
0.0000 0.0000 0.2317 In
0.0000 0.0000 0.7683 In
```

- space-group type = Cmmm (65)
- calculated volume (Å³ per atom) = 20.68
- ΔE to the lowest computed polymorph (eV/atom) = 0.0718


No. 4
Density functional theory data (GGA-PBEsol) for a relaxed structure of BeInSe2.

POSCAR file:
```
BeInSe2
1.0
3.5442 0.0000 0.0000
-1.7721 3.6465 0.0000
0.0000 0.0000 7.2513
Be Se In
1 2 1
direct
0.5000 0.0000 0.5000 Be
0.0000 0.0000 0.7044 Se
0.0000 0.0000 0.2956 Se
0.5000 0.0000 0.0000 In
```

- space-group type = Cmmm (65)
- calculated volume (Å³ per atom) = 23.43
- ΔE to the lowest computed polymorph (eV/atom) = 0.3122


No. 5
Density functional theory data (GGA-PBEsol) for a relaxed structure of BeInSe3.

POSCAR file:
```
BeInSe3
1.0
-1.2453 -0.8952 4.9290
-0.7557 -4.9873 -1.0967
4.9523 -0.9861 1.0721
Be Se In
1 3 1
direct
0.5000 0.5000 0.5000 Be
0.0000 0.5000 0.0000 Se
0.0000 0.0000 0.5000 Se
0.5000 0.0000 0.0000 Se
0.0000 0.0000 0.0000 In
```

- space-group type = Pm-3m (221)
- calculated volume (Å³ per atom) = 27.51
- energy (eV/cell) = -13.9


No. 6
Density functional theory data (GGA-PBEsol) for a relaxed structure of Be2InSi.

POSCAR file:
```
Be2InSi
1.0
-0.0701 2.3687 -1.4236
1.7039 -2.1956 -3.6729
-4.5850 -0.3404 -0.2764
Be Si In
2 1 1
direct
0.0000 0.5000 0.0000 Be
0.0000 0.0000 0.5000 Be
0.5000 0.0000 0.0000 Si
0.5000 0.5000 0.5000 In
```

- space-group type = C2/m (12)
- calculated volume (Å³ per atom) = 14.05
- energy (eV/cell) = -14.4


No. 7
Density functional theory data (GGA-PBEsol) for a relaxed structure of BeInSi2.

POSCAR file:
```
BeInSi2
1.0
3.7074 0.0000 0.0000
0.0000 4.3622 0.0190
0.0000 -1.5883 4.0628
Be Si In
1 2 1
direct
0.5000 0.5000 0.5000 Be
0.0000 0.6828 0.3172 Si
0.0000 0.3172 0.6828 Si
0.5000 0.0000 0.0000 In
```

- space-group type = Cmmm (65)
- calculated volume (Å³ per atom) = 16.45
- ΔE to the lowest computed polymorph (eV/atom) = 0.0000


No. 8
Density functional theory data (GGA-PBEsol) for a relaxed structure of BeInSi2.

POSCAR file:
```
BeInSi2
1.0
-1.0382 2.5375 -0.9804
-1.6607 -1.4224 -1.9227
-5.6178 -0.3294 5.0961
Be Si In
1 2 1
direct
0.5000 0.5000 0.0000 Be
0.0000 0.0000 0.8228 Si
0.0000 0.0000 0.1772 Si
0.5000 0.5000 0.5000 In
```

- space-group type = P4/mmm (123)
- calculated volume (Å³ per atom) = 16.09
- ΔE to the lowest computed polymorph (eV/atom) = 0.0831


No. 9
Density functional theory data (GGA-PBEsol) for a relaxed structure of SrBeIn2.

POSCAR file:
```
SrBeIn2
1.0
4.3293 0.0000 0.0000
2.1647 3.7493 0.0000
2.1647 1.2498 6.1461
Sr Be In
1 1 2
direct
0.0000 0.0000 0.0000 Sr
0.5000 0.5000 0.5000 Be
0.7868 0.7868 0.6395 In
0.2132 0.2132 0.3605 In
```

- space-group type = R-3m (166)
- calculated volume (Å³ per atom) = 24.94
- formation energy from the elements (eV per atom) = -0.11


No. 10
Density functional theory data (GGA-PBEsol) for a relaxed structure of SrBeIn2.

POSCAR file:
```
SrBeIn2
1.0
4.3504 0.0000 0.0000
2.1752 3.7676 0.0000
2.1752 1.2559 6.1146
Sr Be In
1 1 2
direct
0.4880 0.4880 0.5361 Sr
0.6832 0.6832 0.9503 Be
0.0330 0.0330 0.9011 In
0.2765 0.2765 0.1706 In
```

- space-group type = R3m (160)
- calculated volume (Å³ per atom) = 25.06
- formation energy from the elements (eV per atom) = -0.09


No. 11
Density functional theory data (GGA-PBEsol) for a relaxed structure of Sr2BeIn.

POSCAR file:
```
Sr2BeIn
1.0
-2.1945 0.8650 2.9678
2.9392 -0.5435 2.3318
2.0133 7.6762 -0.7485
Sr Be In
2 1 1
direct
0.0000 0.0000 0.7722 Sr
0.0000 0.0000 0.2278 Sr
0.5000 0.5000 0.0000 Be
0.5000 0.5000 0.5000 In
```

- space-group type = P4/mmm (123)
- calculated volume (Å³ per atom) = 28.64
- formation energy from the elements (eV per atom) = 0.05
- ΔE to the lowest computed polymorph (eV/atom) = 0.0218


No. 12
Density functional theory data (GGA-PBEsol) for a relaxed structure of Sr2BeIn.

POSCAR file:
```
Sr2BeIn
1.0
-5.3134 -1.3488 0.2171
-1.8611 -3.1704 4.0723
-3.2171 2.1426 3.8933
Sr In Be
2 1 1
direct
0.2500 0.2500 0.2500 Sr
0.7500 0.7500 0.7500 Sr
0.5000 0.5000 0.5000 In
0.0000 0.0000 0.0000 Be
```

- space-group type = Fm-3m (225)
- calculated volume (Å³ per atom) = 29.19
- formation energy from the elements (eV per atom) = 0.07
- ΔE to the lowest computed polymorph (eV/atom) = 0.0443


No. 13
Density functional theory data (GGA-PBEsol) for a relaxed structure of Sr2BeIn.

POSCAR file:
```
Sr2BeIn
1.0
-0.0797 -3.4340 1.7577
4.7309 -1.3070 -2.3391
0.3170 4.4502 4.4735
Sr Be In
2 1 1
direct
0.0206 0.0206 0.0413 Sr
0.2118 0.7118 0.4235 Sr
0.4598 0.4598 0.9196 Be
0.8078 0.3078 0.6157 In
```

- space-group type = Imm2 (44)
- calculated volume (Å³ per atom) = 28.15
- formation energy from the elements (eV per atom) = 0.03
- ΔE to the lowest computed polymorph (eV/atom) = 0.0000


No. 14
Density functional theory data (GGA-PBEsol) for a relaxed structure of Ta2BeIn.

POSCAR file:
```
Ta2BeIn
1.0
-1.6386 -0.5228 -2.2807
-2.0627 -0.9918 1.7093
-3.0268 7.1987 0.5245
Be In Ta
1 1 2
direct
0.5000 0.5000 0.0000 Be
0.5000 0.5000 0.5000 In
0.0000 0.0000 0.7933 Ta
0.0000 0.0000 0.2067 Ta
```

- space-group type = P4/mmm (123)
- calculated volume (Å³ per atom) = 15.97
- formation energy from the elements (eV per atom) = 0.06
- ΔE to the lowest computed polymorph (eV/atom) = 0.0000


No. 15
Density functional theory data (GGA-PBEsol) for a relaxed structure of TaBe3In.

POSCAR file:
```
TaBe3In
1.0
4.2658 0.0000 0.0000
0.0000 4.2658 0.0000
0.0000 0.0000 4.2658
Be In Ta
3 1 1
direct
0.0000 0.5000 0.0000 Be
0.0000 0.0000 0.5000 Be
0.5000 0.0000 0.0000 Be
0.0000 0.0000 0.0000 In
0.5000 0.5000 0.5000 Ta
```

- space-group type = Pm-3m (221)
- calculated volume (Å³ per atom) = 15.52
- formation energy from the elements (eV per atom) = 1.51


No. 16
Density functional theory data (GGA-PBEsol) for a relaxed structure of Ta2BeIn.

POSCAR file:
```
Ta2BeIn
1.0
-1.3344 2.1881 -1.2863
-3.5243 -1.6876 0.7853
-0.2270 2.7996 4.9980
Be In Ta
1 1 2
direct
0.5000 0.5000 0.0000 Be
0.5000 0.5000 0.5000 In
0.0000 0.0000 0.7693 Ta
0.0000 0.0000 0.2307 Ta
```

- space-group type = Pmmm (47)
- calculated volume (Å³ per atom) = 16.38
- formation energy from the elements (eV per atom) = 0.22
- ΔE to the lowest computed polymorph (eV/atom) = 0.1574


No. 17
Density functional theory data (GGA-PBEsol) for a relaxed structure of Ta2BeIn.

POSCAR file:
```
Ta2BeIn
1.0
-1.8961 -2.0982 1.8942
2.7123 -0.7080 1.9307
-1.3873 4.5040 3.6005
Be In Ta
1 1 2
direct
0.0000 0.0000 0.4707 Be
0.5000 0.5000 0.7355 In
0.0000 0.0000 0.0421 Ta
0.5000 0.5000 0.2517 Ta
```

- space-group type = P4mm (99)
- calculated volume (Å³ per atom) = 17.18
- formation energy from the elements (eV per atom) = 0.26
- ΔE to the lowest computed polymorph (eV/atom) = 0.1935


No. 18
Density functional theory data (GGA-PBEsol) for a relaxed structure of Ta2BeIn.

POSCAR file:
```
Ta2BeIn
1.0
4.5197 0.0000 0.0000
2.2598 3.9142 0.0000
2.2598 1.3047 3.6903
Be In Ta
1 1 2
direct
0.0000 0.0000 0.0000 Be
0.5000 0.5000 0.5000 In
0.7500 0.7500 0.7500 Ta
0.2500 0.2500 0.2500 Ta
```

- space-group type = Fm-3m (225)
- calculated volume (Å³ per atom) = 16.32
- formation energy from the elements (eV per atom) = 0.50
- ΔE to the lowest computed polymorph (eV/atom) = 0.4393


No. 19
Density functional theory data (GGA-PBEsol) for a relaxed structure of BeIn2Tc.

POSCAR file:
```
BeIn2Tc
1.0
-0.6303 -2.4387 -1.3795
3.5067 0.3647 -2.2470
2.7640 -2.8809 3.8457
Be Tc In
1 1 2
direct
0.0000 0.5000 0.5000 Be
0.5000 0.5000 0.0000 Tc
0.9987 0.0000 0.7530 In
0.0013 0.0000 0.2470 In
```

- space-group type = P2/m (10)
- calculated volume (Å³ per atom) = 16.64
- formation energy from the elements (eV per atom) = 0.48


No. 20
Density functional theory data (GGA-PBEsol) for a relaxed structure of BeIn2Tc.

POSCAR file:
```
BeIn2Tc
1.0
3.0333 0.0000 0.0000
1.5166 2.6269 0.0000
1.5166 0.8756 8.6730
Be Tc In
1 1 2
direct
0.2384 0.2384 0.2848 Be
0.5128 0.5128 0.4615 Tc
0.9869 0.9869 0.0393 In
0.7618 0.7618 0.7145 In
```

- space-group type = R3m (160)
- calculated volume (Å³ per atom) = 17.28
- formation energy from the elements (eV per atom) = 0.41


No. 21
Density functional theory data (GGA-PBEsol) for a relaxed structure of Be2InTc.

POSCAR file:
```
Be2InTc
1.0
-0.2946 -1.5910 -3.0678
3.0390 -1.5850 0.5302
-3.3630 -1.6101 3.1185
Be Tc In
2 1 1
direct
0.0000 0.0000 0.0000 Be
0.2500 0.7500 0.5000 Be
0.7500 0.2500 0.5000 Tc
0.5000 0.5000 0.0000 In
```

- space-group type = I-4m2 (119)
- calculated volume (Å³ per atom) = 12.62
- formation energy from the elements (eV per atom) = 0.07


No. 22
Density functional theory data (GGA-PBEsol) for a relaxed structure of BeIn2Tc.

POSCAR file:
```
BeIn2Tc
1.0
2.8854 0.0000 0.0000
0.0000 2.8854 0.0000
0.0000 0.0000 8.0276
Be Tc In
1 1 2
direct
0.5000 0.5000 0.5000 Be
0.5000 0.5000 0.0000 Tc
0.0000 0.0000 0.7457 In
0.0000 0.0000 0.2543 In
```

- space-group type = P4/mmm (123)
- calculated volume (Å³ per atom) = 16.71
- formation energy from the elements (eV per atom) = 0.58


No. 23
Density functional theory data (GGA-PBEsol) for a relaxed structure of BeIn3Tc.

POSCAR file:
```
BeIn3Tc
1.0
4.6742 0.0000 0.0000
0.0000 4.6742 0.0000
0.0000 0.0000 4.6742
Be Tc In
1 1 3
direct
0.0000 0.0000 0.0000 Be
0.5000 0.5000 0.5000 Tc
0.0000 0.5000 0.0000 In
0.0000 0.0000 0.5000 In
0.5000 0.0000 0.0000 In
```

- space-group type = Pm-3m (221)
- calculated volume (Å³ per atom) = 20.42
- formation energy from the elements (eV per atom) = 1.01


No. 24
Density functional theory data (GGA-PBEsol) for a relaxed structure of Be2InTc.

POSCAR file:
```
Be2InTc
1.0
-3.6317 -1.4580 -1.5946
-0.3842 -4.0920 -0.9828
-2.4747 -2.5096 2.3314
Be Tc In
2 1 1
direct
0.0000 0.0000 0.0000 Be
0.7500 0.7500 0.7500 Be
0.2500 0.2500 0.2500 Tc
0.5000 0.5000 0.5000 In
```

- space-group type = F-43m (216)
- calculated volume (Å³ per atom) = 13.34
- formation energy from the elements (eV per atom) = 0.50


No. 25
Density functional theory data (GGA-PBEsol) for a relaxed structure of Be2InTe.

POSCAR file:
```
Be2InTe
1.0
3.6321 0.0194 0.0245
-1.0410 4.5912 -0.0301
-1.0410 -1.0975 4.4582
Be Te In
2 1 1
direct
0.0000 0.5000 0.0000 Be
0.0000 0.0000 0.5000 Be
0.5000 0.5000 0.5000 Te
0.5000 0.0000 0.0000 In
```

- space-group type = C2/m (12)
- calculated volume (Å³ per atom) = 18.62
- ΔE to the lowest computed polymorph (eV/atom) = 0.2061


No. 26
Density functional theory data (GGA-PBEsol) for a relaxed structure of BeIn2Te.

POSCAR file:
```
BeIn2Te
1.0
5.0747 0.0000 0.0000
2.5374 4.3948 0.0000
2.5374 1.4649 4.1435
Be Te In
1 1 2
direct
0.5000 0.5000 0.5000 Be
0.2500 0.2500 0.2500 Te
0.0000 0.0000 0.0000 In
0.7500 0.7500 0.7500 In
```

- space-group type = F-43m (216)
- calculated volume (Å³ per atom) = 23.10
- ΔE to the lowest computed polymorph (eV/atom) = 0.1066


No. 27
Density functional theory data (GGA-PBEsol) for a relaxed structure of Be2InTe.

POSCAR file:
```
Be2InTe
1.0
3.5224 0.0000 0.0000
1.7612 4.7750 0.1145
1.7612 1.1985 4.6235
Be Te In
2 1 1
direct
0.2628 0.7372 0.7372 Be
0.7372 0.2628 0.2628 Be
0.0000 0.5000 0.5000 Te
0.5000 0.0000 0.0000 In
```

- space-group type = Immm (71)
- calculated volume (Å³ per atom) = 19.32
- ΔE to the lowest computed polymorph (eV/atom) = 0.2052


No. 28
Density functional theory data (GGA-PBEsol) for a relaxed structure of BeIn2Te.

POSCAR file:
```
BeIn2Te
1.0
3.1155 0.0000 0.0000
0.0000 5.8826 -0.0758
0.0000 -2.8070 5.1702
Be Te In
1 1 2
direct
0.5000 0.5000 0.5000 Be
0.5000 0.0000 0.0000 Te
0.0000 0.5000 0.0000 In
0.0000 0.0000 0.5000 In
```

- space-group type = Cmmm (65)
- calculated volume (Å³ per atom) = 23.52
- ΔE to the lowest computed polymorph (eV/atom) = 0.0919


No. 29
Density functional theory data (GGA-PBEsol) for a relaxed structure of BeIn2Te.

POSCAR file:
```
BeIn2Te
1.0
-0.3617 0.4213 -3.9794
3.6233 -1.6614 -0.5052
-2.4705 -5.2859 -0.3351
Be Te In
1 1 2
direct
0.0000 0.0000 0.5000 Be
0.5000 0.5000 0.5000 Te
0.0000 0.5000 0.0000 In
0.5000 0.0000 0.0000 In
```

- space-group type = P4/mmm (123)
- calculated volume (Å³ per atom) = 23.59
- ΔE to the lowest computed polymorph (eV/atom) = 0.0000


No. 30
Density functional theory data (GGA-PBEsol) for a relaxed structure of Be2InTe.

POSCAR file:
```
Be2InTe
1.0
6.0198 0.0000 0.0000
-3.0099 5.7211 0.0301
0.0000 3.1401 5.1360
Be Te In
4 2 2
direct
0.6443 0.7500 0.3750 Be
0.1057 0.7500 0.8750 Be
0.8750 0.2500 0.6443 Be
0.3750 0.2500 0.1057 Be
0.7500 0.5000 0.7500 Te
0.0000 0.0000 0.0000 Te
0.2500 0.5000 0.2500 In
0.5000 0.0000 0.5000 In
```

- space-group type = I-42d (122)
- calculated volume (Å³ per atom) = 22.04
- ΔE to the lowest computed polymorph (eV/atom) = 0.0000